[1]
Here is a relaxed CaLaMg crystal from Alexandria via LeMat-Bulk. Energies are from PBE.

extended XYZ file:
```
12
Lattice="7.7500 0.1630 -0.0040 -0.0730 7.7513 0.0057 -3.8328 -3.9611 7.8741" Properties=species:S:1:pos:R:3 pbc="T T T"
Ca 4.1699 -0.2041 1.9146
Ca 0.2970 -0.2873 5.8541
Ca 4.1320 3.6724 2.0212
Ca 4.1727 -0.2051 5.9558
La 0.2949 -0.2857 1.8499
La 0.2576 3.5911 2.0894
La 0.2597 3.5876 5.7902
La 4.1368 3.6707 6.0249
Mg 2.2033 5.5919 3.9403
Mg 6.0271 5.6268 0.0013
Mg -1.6832 1.5854 3.9396
Mg -1.5964 -2.2421 7.8739
```

Values from the calculation:
* relative energy among the computed polymorphs: 0.96 eV/f.u.
* formation enthalpy at 0 K: 0.26 eV per atom

=====

[2]
Here is a relaxed Ca2LaMg crystal from Alexandria via LeMat-Bulk. Energies are from PBE.

extended XYZ file:
```
4
Lattice="-0.9393 -4.2319 -5.4796 5.4818 -3.5862 -2.4304 -4.1668 1.2859 5.4591" Properties=species:S:1:pos:R:3 pbc="T T T"
Ca 4.4338 -7.6310 -7.7207
Ca 1.7712 -3.0669 -0.4249
La 2.3865 -4.1074 -4.1557
Mg -1.4020 -3.4541 -2.0146
```

Values from the calculation:
* formation enthalpy at 0 K: 0.05 eV per atom

=====

[3]
Here is a relaxed CaLa4Mg2 crystal from Alexandria via LeMat-Bulk. Energies are from PBE.

extended XYZ file:
```
7
Lattice="-4.6861 -1.8560 2.8738 3.2098 -0.6992 4.7824 -2.4113 6.4306 6.0781" Properties=species:S:1:pos:R:3 pbc="T T T"
Ca 0.0000 0.0000 0.0000
Mg -1.0951 0.3668 4.3081
Mg -2.7925 3.5086 9.4262
La -1.7692 3.4725 5.2146
La -2.1184 0.4029 8.5196
La 1.6049 -0.3496 2.3912
La -2.3430 -0.9280 1.4369
```

Values from the calculation:
* relative energy among the computed polymorphs: 4.42 eV/f.u.
* formation enthalpy at 0 K: 0.61 eV per atom

=====

[4]
Here is a relaxed Ca2LaMg crystal from Alexandria via LeMat-Bulk. Energies are from PBE.

extended XYZ file:
```
4
Lattice="-2.6076 -4.5690 -1.0260 -0.6655 -0.4145 3.5370 -6.8728 3.3102 2.7258" Properties=species:S:1:pos:R:3 pbc="T T T"
Ca -6.7996 3.2692 2.7224
Ca -3.8424 1.4889 3.1348
La -3.1884 -1.5606 1.0527
Mg -6.9575 -0.1127 4.1841
```

Values from the calculation:
* formation enthalpy at 0 K: 0.05 eV per atom

=====

[5]
Here is a relaxed CaLaMg2 crystal from Alexandria via LeMat-Bulk. Energies are from PBE.

extended XYZ file:
```
4
Lattice="3.4814 0.0000 0.0000 0.0000 5.0720 0.0000 0.0000 0.0000 7.0657" Properties=species:S:1:pos:R:3 pbc="T T T"
Ca 0.0000 0.0000 3.3509
La 1.7407 2.5360 5.4858
Mg 0.0000 0.0000 0.0019
Mg 1.7407 2.5360 1.7598
```

Values from the calculation:
* relative energy among the computed polymorphs: 0.54 eV/f.u.
* formation enthalpy at 0 K: 0.02 eV per atom

=====

[6]
Here is a relaxed Ca3LaMg2 crystal from Alexandria via LeMat-Bulk. Energies are from PBE.

extended XYZ file:
```
12
Lattice="-4.7825 1.0967 2.6523 -2.6951 -6.1312 -2.3244 3.6309 -4.8362 8.5468" Properties=species:S:1:pos:R:3 pbc="T T T"
Ca 2.2662 -7.4213 7.1549
Ca -2.4241 -6.0344 -1.8759
Ca -3.5452 -4.4909 1.3290
Ca 0.0946 -4.4786 7.8873
Ca 0.2641 -3.5150 1.9297
Ca 0.2653 -8.3770 3.9422
La -1.9252 -5.3954 4.6243
La -0.8305 -1.9931 5.1914
Mg -1.1604 -7.8353 7.0122
Mg -2.3833 -1.3460 2.1238
Mg 1.5040 -4.9565 4.7615
Mg -0.8582 -6.6706 1.2108
```

Values from the calculation:
* formation enthalpy at 0 K: -0.03 eV per atom

=====

The following size of the total moment values (in μB per formula unit) correspond, in order, to the records above: 0.33; 0.00; 0.03; 0.00; 0.00; 0.00.
The following V values (in Å³ per atom) correspond, in order, to the records above: 39.43; 35.62; 39.45; 35.36; 31.19; 34.50.